[1]
VASP calculation (GGA-PBE) on a geometry-optimized Tc2Mo2P structure.

Unit cell a=7.3637 b=7.3637 c=2.9611 alpha=90.00 beta=90.00 gamma=90.00
Fractional coordinates of all 10 atoms:
Mo  0.3431  0.8431  0.0000
Tc  0.6375  0.8625  0.5000
Mo  0.8431  0.6569  0.0000
Mo  0.6569  0.1569  0.0000
Tc  0.1375  0.6375  0.5000
Tc  0.8625  0.3625  0.5000
Tc  0.3625  0.1375  0.5000
P  0.0000  0.0000  0.0000
Mo  0.1569  0.3431  0.0000
P  0.5000  0.5000  0.0000

Properties
- DFT formation energy: 2.2 eV per formula unit
- N(E_F): 7.25 states/eV per cell
- Crystal system: tetragonal

---

[2]
VASP calculation (GGA-PBE) on a geometry-optimized LiAc2Ge3Au12 structure.

Unit cell a=8.0094 b=8.0094 c=8.0094 alpha=70.70 beta=70.70 gamma=70.70
Fractional coordinates of all 18 atoms:
Au  0.8381  0.3153  0.3153
Au  0.1406  0.1406  0.6471
Ge  0.0000  0.0000  0.5000
Au  0.8594  0.8594  0.3529
Ge  0.0000  0.5000  0.0000
Ac  0.3874  0.3874  0.3874
Au  0.1406  0.6471  0.1406
Au  0.3153  0.8381  0.3153
Au  0.8594  0.3529  0.8594
Ac  0.6126  0.6126  0.6126
Au  0.3153  0.3153  0.8381
Au  0.6847  0.6847  0.1619
Au  0.1619  0.6847  0.6847
Au  0.3529  0.8594  0.8594
Ge  0.5000  0.0000  0.0000
Au  0.6847  0.1619  0.6847
Li  0.0000  0.0000  0.0000
Au  0.6471  0.1406  0.1406

Properties
- DFT formation energy: -3.2 eV per formula unit
- N(E_F): 4.03 states/eV per cell
- Crystal system: trigonal

---

[3]
VASP calculation (GGA-PBE) on a geometry-optimized HoTh3Tl4 structure.

Unit cell a=6.8238 b=6.9116 c=9.8348 alpha=90.00 beta=90.00 gamma=90.00
Fractional coordinates of all 16 atoms:
Tl  0.0644  0.2633  0.2499
Ho  0.8146  0.4999  0.0000
Tl  0.5644  0.7367  0.7499
Tl  0.0644  0.2633  0.7501
Ho  0.3146  0.5001  0.5000
Tl  0.8147  0.4996  0.5000
Tl  0.3141  0.0005  0.0000
Th  0.0644  0.7651  0.7501
Th  0.5644  0.2349  0.7499
Th  0.0644  0.7651  0.2499
Th  0.3140  0.0002  0.5000
Tl  0.5644  0.7367  0.2501
Tl  0.3147  0.5004  0.0000
Tl  0.8141  0.9995  0.5000
Th  0.5644  0.2349  0.2501
Th  0.8140  0.9998  0.0000

Properties
- DFT formation energy: -0.9 eV per formula unit
- N(E_F): 17.23 states/eV per cell
- Crystal system: orthorhombic

---

[4]
VASP calculation (GGA-PBE) on a geometry-optimized HoPaFeCo structure.

Unit cell a=4.7049 b=4.7049 c=4.7049 alpha=60.00 beta=60.00 gamma=60.00
Site moments in Bohr magnetons follow the coordinates.
Fractional coordinates of all 4 atoms:
Pa  0.2500  0.2500  0.2500  -0.30
Fe  0.5000  0.5000  0.5000  1.03
Co  0.0000  0.0000  0.0000  0.60
Ho  0.7500  0.7500  0.7500  -0.15

Properties
- DFT formation energy: -0.1 eV per formula unit
- N(E_F): 4.70 states/eV per cell
- Crystal system: cubic

---

> Among the records above, which one has the lowest DFT formation energy?

LiAc2Ge3Au12

---

What did the third record say?
VASP calculation (GGA-PBE) on a geometry-optimized HoTh3Tl4 structure.

Unit cell a=6.8238 b=6.9116 c=9.8348 alpha=90.00 beta=90.00 gamma=90.00
Fractional coordinates of all 16 atoms:
Tl  0.0644  0.2633  0.2499
Ho  0.8146  0.4999  0.0000
Tl  0.5644  0.7367  0.7499
Tl  0.0644  0.2633  0.7501
Ho  0.3146  0.5001  0.5000
Tl  0.8147  0.4996  0.5000
Tl  0.3141  0.0005  0.0000
Th  0.0644  0.7651  0.7501
Th  0.5644  0.2349  0.7499
Th  0.0644  0.7651  0.2499
Th  0.3140  0.0002  0.5000
Tl  0.5644  0.7367  0.2501
Tl  0.3147  0.5004  0.0000
Tl  0.8141  0.9995  0.5000
Th  0.5644  0.2349  0.2501
Th  0.8140  0.9998  0.0000

Properties
- DFT formation energy: -0.9 eV per formula unit
- N(E_F): 17.23 states/eV per cell
- Crystal system: orthorhombic

---

Copy entry 3 word for word.
VASP calculation (GGA-PBE) on a geometry-optimized HoTh3Tl4 structure.

Unit cell a=6.8238 b=6.9116 c=9.8348 alpha=90.00 beta=90.00 gamma=90.00
Fractional coordinates of all 16 atoms:
Tl  0.0644  0.2633  0.2499
Ho  0.8146  0.4999  0.0000
Tl  0.5644  0.7367  0.7499
Tl  0.0644  0.2633  0.7501
Ho  0.3146  0.5001  0.5000
Tl  0.8147  0.4996  0.5000
Tl  0.3141  0.0005  0.0000
Th  0.0644  0.7651  0.7501
Th  0.5644  0.2349  0.7499
Th  0.0644  0.7651  0.2499
Th  0.3140  0.0002  0.5000
Tl  0.5644  0.7367  0.2501
Tl  0.3147  0.5004  0.0000
Tl  0.8141  0.9995  0.5000
Th  0.5644  0.2349  0.2501
Th  0.8140  0.9998  0.0000

Properties
- DFT formation energy: -0.9 eV per formula unit
- N(E_F): 17.23 states/eV per cell
- Crystal system: orthorhombic

---

> What is the DFT formation energy in the first record?

2.2 eV per formula unit